The following is a GGA-PBE calculation of an optimized crystal structure of ScNbCoCu2, from Alexandria.

Properties
As for the raw total energy: -5.62 eV per atom. The value obtained for the density of states at the Fermi level is 1.377 states/eV/atom. As for the total magnetization: 1.261 μB per formula unit. For the formation energy, the calculation gives 0.72 eV per atom.

Unit cell a=4.4775 b=4.4775 c=4.2917 alpha=90.00 beta=90.00 gamma=90.00
Sites, in units of the cell vectors:
1 Sc 0.0000 0.0000 0.0000
2 Nb 0.5000 0.5000 0.0000
3 Co 0.0000 0.0000 0.5000
4 Cu 0.0000 0.5000 0.5000
5 Cu 0.5000 0.0000 0.5000